# NaLi2Pb2

An optimized crystal structure of NaLi2Pb2 (PBE, Alexandria via LeMat-Bulk).

Cell lengths 8.276, 8.276, 3.511 Å; angles 90.00, 90.00, 90.00 degrees
Space group P4/mbm (No. 127)
Asymmetric unit:
Na 0.000 0.000 0.000
Li 0.153 0.347 0.000
Pb 0.142 0.642 0.500

Computed properties:
Final energy: -2.732 eV per atom
Volume: 240.5 Å³ per cell
Energy relative to the lowest polymorph listed for this composition: 0.006 eV/atom
N(E_F): 1.51 states/eV/f.u.
Energy relative to the elements: -219 meV/atom

---

# Na3LiPb6

An optimized crystal structure of Na3LiPb6 (PBE, Alexandria via LeMat-Bulk).

Cell lengths 9.181, 5.483, 11.959 Å; angles 90.00, 110.34, 90.00 degrees
Space group P2_1/m (No. 11)
Asymmetric unit:
Na 0.045 0.250 0.379
Na 0.123 0.750 0.230
Na 0.278 0.250 0.982
Li 0.467 0.250 0.572
Pb 0.037 0.750 0.933
Pb 0.190 0.250 0.672
Pb 0.263 0.750 0.527
Pb 0.343 0.750 0.832
Pb 0.364 0.250 0.295
Pb 0.432 0.750 0.149

Computed properties:
Final energy: -2.954 eV per atom
Volume: 564.5 Å³ per cell
N(E_F): 3.37 states/eV/f.u.
Energy relative to the elements: -141 meV/atom